This record from the Alexandria database describes a relaxed ReAgMo2F crystal. The functional is PBE+U.

a = 5.3677 Å, b = 5.3677 Å, c = 3.9912 Å
α = 90.00°, β = 90.00°, γ = 90.00°
Closest atoms and distances in Å follow each position.
Positions (direct):
Re 0.0000 0.0000 0.0000  8 Mo 3.34
Ag 0.5000 0.5000 0.5000  2 F 2.00
Mo 0.0000 0.5000 0.5000  2 Ag 2.68
Mo 0.5000 0.0000 0.5000  2 Ag 2.68
F 0.5000 0.5000 0.0000  2 Ag 2.00

Results
N(E_F) = 3.41 states/eV per cell
total magnetization = 5.54 μB/cell
E = -0.16964 Ha/atom